Entry 1:
Density functional theory data (PBE-GGA) for BPSe3 after structural relaxation.

```
BPSe3
1.0
4.8395 0.0000 0.0000
0.0000 4.8395 0.0000
0.0000 0.0000 4.8395
B P Se
1 1 3
Direct
0.0000 0.0000 0.0000 B
0.5000 0.5000 0.5000 P
0.0000 0.5000 0.5000 Se
0.5000 0.0000 0.5000 Se
0.5000 0.5000 0.0000 Se
```

Output
volume: 113.35 Å³/cell
relative energy among the computed polymorphs: 368 meV per atom
final energy: -16.1 eV for the cell shown
size of the total moment: 0.00 μB/f.u.
uncorrected formation energy: 1.2812 eV/atom



Entry 2:
Density functional theory data (PBE-GGA) for BPSe3 after structural relaxation.

```
BPSe3
1.0
4.4326 0.0000 0.0000
0.0000 4.4326 0.0000
0.0000 0.0000 4.4326
B P Se
1 1 3
Direct
0.0000 0.0000 0.0000 B
0.5000 0.5000 0.5000 P
0.0000 0.0000 0.5000 Se
0.0000 0.5000 0.0000 Se
0.5000 0.0000 0.0000 Se
```

Output
volume: 87.09 Å³/cell
relative energy among the computed polymorphs: 0 meV per atom
final energy: -18.0 eV for the cell shown
size of the total moment: 0.00 μB/f.u.
uncorrected formation energy: 0.9136 eV/atom



Entry 3:
Density functional theory data (PBE-GGA) for B3PSe after structural relaxation.

```
B3PSe
1.0
4.0820 0.0000 0.0000
0.0000 4.0820 0.0000
0.0000 0.0000 4.0820
B P Se
3 1 1
Direct
0.0000 0.0000 0.5000 B
0.0000 0.5000 0.0000 B
0.5000 0.0000 0.0000 B
0.5000 0.5000 0.5000 P
0.0000 0.0000 0.0000 Se
```

Output
volume: 68.02 Å³/cell
relative energy among the computed polymorphs: 713 meV per atom
final energy: -18.5 eV for the cell shown
size of the total moment: 0.00 μB/f.u.
uncorrected formation energy: 2.0880 eV/atom



- Look up the uncorrected formation energy of the second one.
  0.9136 eV/atom